Record 1
Compound: KAs2Ir
Source: the Alexandria database
Functional: GGA-PBE
Structure: optimized geometry

Cell lengths 5.1983, 6.6239, 3.0404 Å; angles 62.93, 89.86, 120.27 degrees
Fractional coordinates of all 4 atoms:
As1 0.0000 0.0000 0.0000
As2 0.0000 0.5000 0.5000
Ir1 0.5000 0.5000 0.0000
K1 0.5000 0.0000 0.5000

Values from the calculation:
energy of formation from the pure elements	551	meV per atom
crystal system	monoclinic
magnetic moment	0.00	μB/f.u.
relative energy among the computed polymorphs	0.858	eV/atom

Record 2
Compound: Pm2Ga4IrRu3
Source: the Alexandria database
Functional: GGA-PBE
Structure: optimized geometry

Cell lengths 4.3340, 4.3340, 9.9629 Å; angles 90.00, 90.00, 90.00 degrees
Fractional coordinates of all 10 atoms:
Pm1 0.5000 0.0000 0.2667
Pm2 0.0000 0.5000 0.7333
Ga1 0.5000 0.5000 0.0000
Ga2 0.0000 0.0000 0.0000
Ga3 0.5000 0.0000 0.6276
Ga4 0.0000 0.5000 0.3724
Ir1 0.5000 0.5000 0.5000
Ru1 0.0000 0.0000 0.5000
Ru2 0.5000 0.0000 0.8760
Ru3 0.0000 0.5000 0.1240

Values from the calculation:
energy of formation from the pure elements	-475	meV per atom
crystal system	tetragonal
magnetic moment	0.00	μB/f.u.

Question: The highest energy of formation from the pure elements belongs to which entry?
Answer: KAs2Ir

Copy entry 1 word for word.
Compound: KAs2Ir
Source: the Alexandria database
Functional: GGA-PBE
Structure: optimized geometry

Cell lengths 5.1983, 6.6239, 3.0404 Å; angles 62.93, 89.86, 120.27 degrees
Fractional coordinates of all 4 atoms:
As1 0.0000 0.0000 0.0000
As2 0.0000 0.5000 0.5000
Ir1 0.5000 0.5000 0.0000
K1 0.5000 0.0000 0.5000

Values from the calculation:
energy of formation from the pure elements	551	meV per atom
crystal system	monoclinic
magnetic moment	0.00	μB/f.u.
relative energy among the computed polymorphs	0.858	eV/atom